The following is a GGA-PBE calculation of Ca2LaAu after structural relaxation, from the Alexandria database.

Density   6.02 g/cm3
Calculated formation energy   -0.083 eV per atom
Energy   -12.539 eV per cell
Fermi-level density of states   2.461 states/eV/atom
SG   Fm-3m (225)
ΔE to the lowest computed polymorph   0.333 eV per atom

```
4
Lattice="0.000 3.857 3.857 3.857 0.000 3.857 3.857 3.857 0.000" Properties=species:S:1:pos:R:3 pbc="T T T"
Ca 1.929 1.929 1.929
Ca 5.786 5.786 5.786
La 0.000 0.000 0.000
Au 3.857 3.857 3.857
```